A geometry-optimized CrC8N6 structure. Source: the Alexandria database, functional PBE.

a = 7.330 Å, b = 7.330 Å, c = 5.669 Å
α = 90.00°, β = 90.00°, γ = 120.00°
Positions (direct):
Cr: 0.000 0.000 0.000
C: 0.223 0.447 0.224
C: 0.223 0.777 0.224
C: 0.333 0.667 0.249
C: 0.447 0.223 0.776
C: 0.553 0.777 0.224
C: 0.667 0.333 0.751
C: 0.777 0.223 0.776
C: 0.777 0.553 0.776
N: 0.132 0.265 0.187
N: 0.132 0.868 0.187
N: 0.265 0.132 0.813
N: 0.735 0.868 0.187
N: 0.868 0.132 0.813
N: 0.868 0.735 0.813

V, Å³ per atom: 17.584
Space group: P-3m1



A geometry-optimized Cr4CN2 structure. Source: the Alexandria database, functional PBE.

a = 5.767 Å, b = 5.767 Å, c = 5.767 Å
α = 141.86°, β = 141.86°, γ = 55.04°
Positions (direct):
Cr: 0.000 0.500 0.500
Cr: 0.203 0.203 0.000
Cr: 0.500 0.000 0.500
Cr: 0.797 0.797 0.000
C: 0.000 0.000 0.000
N: 0.385 0.385 0.000
N: 0.615 0.615 0.000

Energy relative to the lowest polymorph listed for this composition, meV/atom: 575
V, Å³ per atom: 10.376
Space group: I4/mmm



A geometry-optimized Cr2CN structure. Source: the Alexandria database, functional PBE.

a = 5.063 Å, b = 5.063 Å, c = 5.063 Å
α = 33.28°, β = 33.28°, γ = 33.28°
Positions (direct):
Cr: 0.247 0.247 0.247
Cr: 0.753 0.753 0.753
C: 0.500 0.500 0.500
N: 0.000 0.000 0.000

Energy relative to the lowest polymorph listed for this composition, meV/atom: 103
V, Å³ per atom: 8.699
Space group: R-3m



A geometry-optimized CrCN structure. Source: the Alexandria database, functional PBE.

a = 2.706 Å, b = 2.706 Å, c = 3.870 Å
α = 90.00°, β = 90.00°, γ = 120.00°
Positions (direct):
Cr: 0.000 0.000 0.000
C: 0.667 0.333 0.344
N: 0.667 0.333 0.682

Energy relative to the lowest polymorph listed for this composition, meV/atom: 10
V, Å³ per atom: 8.183
Space group: P3m1



A geometry-optimized CrCN structure. Source: the Alexandria database, functional PBE.

a = 2.575 Å, b = 3.918 Å, c = 3.918 Å
α = 41.01°, β = 90.00°, γ = 90.00°
Positions (direct):
Cr: 0.000 0.000 0.000
C: 0.500 0.371 0.371
N: 0.500 0.191 0.191

Energy relative to the lowest polymorph listed for this composition, meV/atom: 154
V, Å³ per atom: 8.648
Space group: Amm2



A geometry-optimized CrCN structure. Source: the Alexandria database, functional PBE.

a = 2.663 Å, b = 3.285 Å, c = 3.444 Å
α = 80.22°, β = 67.33°, γ = 89.99°
Positions (direct):
Cr: 0.000 0.000 0.000
C: 0.698 0.783 0.598
N: 0.543 0.463 0.913

Energy relative to the lowest polymorph listed for this composition, meV/atom: 342
V, Å³ per atom: 9.108
Space group: P1



A geometry-optimized CrCN structure. Source: the Alexandria database, functional PBE.

a = 4.167 Å, b = 4.167 Å, c = 4.167 Å
α = 37.97°, β = 37.97°, γ = 37.97°
Positions (direct):
Cr: 0.000 0.000 0.000
C: 0.448 0.448 0.448
N: 0.561 0.561 0.561

Energy relative to the lowest polymorph listed for this composition, meV/atom: 0
V, Å³ per atom: 8.188
Space group: R3m



A geometry-optimized CrCN structure. Source: the Alexandria database, functional PBE.

a = 3.487 Å, b = 3.487 Å, c = 4.462 Å
α = 128.16°, β = 128.16°, γ = 51.12°
Positions (direct):
Cr: 0.000 0.000 0.000
C: 0.768 0.768 0.133
N: 0.757 0.757 0.419

Energy relative to the lowest polymorph listed for this composition, meV/atom: 327
V, Å³ per atom: 10.259
Space group: Cm



Calculated ΔE_f (raw), 358.4, 413.1, -91.3, 45.5, 189.6, 377.7, 35.3, 362.2 meV per atom (same order as the records).
Calculated DFT total energy, -127.990, -61.476, -37.161, -27.036, -26.604, -26.040, -27.067, -26.086 eV for the cell shown (same order as the records).